Record 1
First-principles (SCAN) data for a PBEsol-optimized structure of ScPt2W, as listed in Alexandria via LeMat-Bulk.

Computed properties:
The energy is -227.06 eV/cell. The space group is No. 47. The value obtained for the mass density is 16.324 g/cm³.

a b c (Å): 2.8016 4.0112 5.6027
angles (deg): 90.00 90.00 90.00
Last column: nearest neighbours and their distance in Å.
Fractional positions:
Pt (0.0000, 0.0000, 0.7410)  4 Pt 2.70-2.90, 4 W 2.79, 4 Sc 2.84
W (0.5000, 0.5000, 0.5000)  8 Pt 2.79, 2 Sc 2.80, 2 W 2.80
Pt (0.0000, 0.0000, 0.2590)  4 Pt 2.70-2.90, 4 W 2.79, 4 Sc 2.84
Sc (0.5000, 0.5000, 0.0000)  2 W 2.80, 2 Sc 2.80, 8 Pt 2.84



Record 2
First-principles (SCAN) data for a PBEsol-optimized structure of ScPt3W, as listed in Alexandria via LeMat-Bulk.

Computed properties:
The energy is -292.54 eV/cell. The space group is No. 221. The value obtained for the mass density is 12.358 g/cm³.

a b c (Å): 4.7824 4.7824 4.7824
angles (deg): 90.00 90.00 90.00
Last column: nearest neighbours and their distance in Å.
Fractional positions:
Sc (0.5000, 0.5000, 0.5000)  12 Pt 3.38
Pt (0.0000, 0.5000, 0.0000)  2 W 2.39
Pt (0.0000, 0.0000, 0.5000)  2 W 2.39
Pt (0.5000, 0.0000, 0.0000)  2 W 2.39
W (0.0000, 0.0000, 0.0000)  6 Pt 2.39



Record 3
First-principles (SCAN) data for a PBEsol-optimized structure of ScPt2W, as listed in Alexandria via LeMat-Bulk.

Computed properties:
The energy is -226.18 eV/cell. The space group is No. 99. The value obtained for the mass density is 15.689 g/cm³.

a b c (Å): 3.3107 3.3107 5.9768
angles (deg): 90.00 90.00 90.00
Last column: nearest neighbours and their distance in Å.
Fractional positions:
W (0.5000, 0.5000, 0.7831)  5 Pt 2.63-2.80
Pt (0.5000, 0.5000, 0.2510)  4 Sc 2.71, 1 W 2.80, 4 Pt 2.83
Sc (0.0000, 0.0000, 0.4806)  6 Pt 2.71-3.02, 4 W 2.96
Pt (0.0000, 0.0000, 0.9853)  4 W 2.63, 4 Pt 2.83



Record 4
First-principles (SCAN) data for a PBEsol-optimized structure of ScPt2W, as listed in Alexandria via LeMat-Bulk.

Computed properties:
The energy is -226.82 eV/cell. The space group is No. 123. The value obtained for the mass density is 15.946 g/cm³.

a b c (Å): 2.7766 4.8180 4.8180
angles (deg): 90.00 90.00 90.00
Last column: nearest neighbours and their distance in Å.
Fractional positions:
W (0.5000, 0.0000, 0.0000)  2 W 2.78, 8 Pt 2.78
Pt (0.0000, 0.5000, 0.0000)  2 Pt 2.78, 4 Sc 2.78, 4 W 2.78
Pt (0.0000, 0.0000, 0.5000)  2 Pt 2.78, 4 W 2.78, 4 Sc 2.78
Sc (0.5000, 0.5000, 0.5000)  2 Sc 2.78, 8 Pt 2.78



Record 5
First-principles (SCAN) data for a PBEsol-optimized structure of YScPt2, as listed in Alexandria via LeMat-Bulk.

Computed properties:
The energy is -187.25 eV/cell. The space group is No. 44. The value obtained for the mass density is 11.742 g/cm³.

a b c (Å): 3.9155 4.1093 5.4099
angles (deg): 112.32 111.22 90.00
Last column: nearest neighbours and their distance in Å.
Fractional positions:
Pt (0.0004, 0.0004, 0.0008)  4 Sc 2.84, 4 Y 3.02-3.09, 4 Pt 3.04-3.07
Pt (0.7530, 0.2530, 0.5060)  4 Y 2.84, 4 Sc 2.98-3.13, 4 Pt 3.04-3.07
Sc (0.4963, 0.4963, 0.9925)  8 Pt 2.84-3.13, 4 Y 3.05-3.06
Y (0.2503, 0.7503, 0.5006)  8 Pt 2.84-3.09, 4 Sc 3.05-3.06



Record 6
First-principles (SCAN) data for a PBEsol-optimized structure of YScPt2, as listed in Alexandria via LeMat-Bulk.

Computed properties:
The energy is -188.08 eV/cell. The space group is No. 123. The value obtained for the mass density is 11.504 g/cm³.

a b c (Å): 3.3534 4.7493 4.7493
angles (deg): 90.00 90.00 90.00
Last column: nearest neighbours and their distance in Å.
Fractional positions:
Pt (0.0000, 0.5000, 0.0000)  4 Sc 2.91, 4 Y 2.91
Sc (0.5000, 0.5000, 0.5000)  8 Pt 2.91
Pt (0.0000, 0.0000, 0.5000)  4 Y 2.91, 4 Sc 2.91
Y (0.5000, 0.0000, 0.0000)  8 Pt 2.91



Record 7
First-principles (SCAN) data for a PBEsol-optimized structure of YScPt2, as listed in Alexandria via LeMat-Bulk.

Computed properties:
The energy is -188.07 eV/cell. The space group is No. 225. The value obtained for the mass density is 11.492 g/cm³.

a b c (Å): 4.7487 4.7487 4.7487
angles (deg): 60.00 60.00 60.00
Last column: nearest neighbours and their distance in Å.
Fractional positions:
Sc (0.5000, 0.5000, 0.5000)  8 Pt 2.91
Pt (0.7500, 0.7500, 0.7500)  4 Y 2.91, 4 Sc 2.91
Y (0.0000, 0.0000, 0.0000)  8 Pt 2.91
Pt (0.2500, 0.2500, 0.2500)  4 Sc 2.91, 4 Y 2.91



Record 8
First-principles (SCAN) data for a PBEsol-optimized structure of Y2ScPt2, as listed in Alexandria via LeMat-Bulk.

Computed properties:
The energy is -433.37 eV/cell. The space group is No. 127. The value obtained for the mass density is 9.367 g/cm³.

a b c (Å): 4.0418 7.3328 7.3328
angles (deg): 90.00 90.00 90.00
Last column: nearest neighbours and their distance in Å.
Fractional positions:
Sc (0.0000, 0.0000, 0.0000)  4 Pt 2.84
Y (0.5000, 0.3343, 0.1657)  6 Pt 2.86-3.02
Y (0.5000, 0.1657, 0.6657)  6 Pt 2.86-3.02
Sc (0.0000, 0.5000, 0.5000)  4 Pt 2.84
Pt (0.0000, 0.6393, 0.1393)  2 Sc 2.84, 6 Y 2.86-3.02, 1 Pt 2.89
Pt (0.0000, 0.3607, 0.8607)  2 Sc 2.84, 6 Y 2.86-3.02, 1 Pt 2.89
Y (0.5000, 0.6657, 0.8343)  6 Pt 2.86-3.02
Pt (0.0000, 0.8607, 0.6393)  2 Sc 2.84, 6 Y 2.86-3.02, 1 Pt 2.89
Y (0.5000, 0.8343, 0.3343)  6 Pt 2.86-3.02
Pt (0.0000, 0.1393, 0.3607)  2 Sc 2.84, 6 Y 2.86-3.02, 1 Pt 2.89